CsMgTaPd: relaxed, PBE.

Summary:
As for the polymorph energy (0 for the lowest one): 200 meV per atom. The space-group type is No. 216. Its crystal system is cubic. The value obtained for the magnetization is 2.2 Bohr magnetons per cell.

a = 5.1908 Å, b = 5.1908 Å, c = 5.1908 Å
α = 60.00°, β = 60.00°, γ = 60.00°
Atoms (fractional coordinates):
Cs  0.5000  0.5000  0.5000
Mg  0.7500  0.7500  0.7500
Ta  0.0000  0.0000  0.0000
Pd  0.2500  0.2500  0.2500

***

CsMgTaPd: relaxed, PBE.

Summary:
As for the polymorph energy (0 for the lowest one): 241 meV per atom. The space-group type is No. 216. Its crystal system is cubic. The value obtained for the magnetization is 0.1 Bohr magnetons per cell.

a = 5.0409 Å, b = 5.0409 Å, c = 5.0409 Å
α = 60.00°, β = 60.00°, γ = 60.00°
Atoms (fractional coordinates):
Cs  0.2500  0.2500  0.2500
Ta  0.0000  0.0000  0.0000
Pd  0.5000  0.5000  0.5000
Mg  0.7500  0.7500  0.7500

***

CsMgTe3Pd: relaxed, PBE.

Summary:
The space-group type is No. 63. Its crystal system is orthorhombic. The value obtained for the total energy is -3.45 eV/atom.

a = 8.6453 Å, b = 8.6453 Å, c = 11.4297 Å
α = 90.00°, β = 90.00°, γ = 151.12°
Atoms (fractional coordinates):
Te  0.1042  0.8958  0.5276
Te  0.4364  0.5636  0.7500
Te  0.8958  0.1042  0.0276
Te  0.5636  0.4364  0.2500
Te  0.1042  0.8958  0.9724
Te  0.8958  0.1042  0.4724
Cs  0.2519  0.7481  0.2500
Cs  0.7481  0.2519  0.7500
Mg  0.9649  0.0351  0.2500
Mg  0.0351  0.9649  0.7500
Pd  0.5000  0.5000  0.0000
Pd  0.5000  0.5000  0.5000

***

CsPrMgS3: relaxed, PBE.

Summary:
The space-group type is No. 62. Its crystal system is orthorhombic. The value obtained for the magnetization is 0.0 Bohr magnetons per cell. The value obtained for the total energy is -4.92 eV/atom.

a = 11.2394 Å, b = 4.2550 Å, c = 15.5080 Å
α = 90.00°, β = 90.00°, γ = 90.00°
Atoms (fractional coordinates):
S  0.4286  0.7500  0.8674
S  0.7451  0.2500  0.7991
S  0.5714  0.2500  0.1326
S  0.9286  0.7500  0.6326
S  0.4438  0.2500  0.3638
S  0.5562  0.7500  0.6362
S  0.2451  0.2500  0.7009
S  0.0714  0.2500  0.3674
S  0.9438  0.2500  0.1362
S  0.0562  0.7500  0.8638
S  0.2549  0.7500  0.2009
S  0.7549  0.7500  0.2991
Pr  0.0055  0.7500  0.2529
Pr  0.4945  0.2500  0.7529
Pr  0.9945  0.2500  0.7471
Pr  0.5055  0.7500  0.2471
Mg  0.2438  0.7500  0.7884
Mg  0.7562  0.2500  0.2116
Mg  0.7438  0.7500  0.7116
Mg  0.2562  0.2500  0.2884
Cs  0.7419  0.2500  0.4885
Cs  0.2419  0.2500  0.0115
Cs  0.7581  0.7500  0.9885
Cs  0.2581  0.7500  0.5115

***

CsPrMgS3: relaxed, PBE.

Summary:
The space-group type is No. 63. Its crystal system is orthorhombic. The value obtained for the magnetization is 0.0 Bohr magnetons per cell. The value obtained for the total energy is -4.92 eV/atom.

a = 8.0882 Å, b = 8.0882 Å, c = 11.2595 Å
α = 90.00°, β = 90.00°, γ = 149.48°
Atoms (fractional coordinates):
Cs  0.7577  0.2423  0.2500
Cs  0.2423  0.7577  0.7500
S  0.4487  0.5513  0.2500
S  0.5513  0.4487  0.7500
S  0.1138  0.8862  0.0656
S  0.8862  0.1138  0.9344
S  0.1138  0.8862  0.4344
S  0.8862  0.1138  0.5656
Pr  0.5000  0.5000  0.0000
Pr  0.5000  0.5000  0.5000
Mg  0.0353  0.9647  0.2500
Mg  0.9647  0.0353  0.7500

***

CsMgPt: relaxed, PBE.

Summary:
As for the polymorph energy (0 for the lowest one): 116 meV per atom. The space-group type is No. 216. Its crystal system is cubic. The value obtained for the magnetization is 0.0 Bohr magnetons per cell.

a = 5.1884 Å, b = 5.1884 Å, c = 5.1884 Å
α = 60.00°, β = 60.00°, γ = 60.00°
Atoms (fractional coordinates):
Pt  0.0000  0.0000  0.0000
Mg  0.7500  0.7500  0.7500
Cs  0.2500  0.2500  0.2500

***

CsMgPt: relaxed, PBE.

Summary:
As for the polymorph energy (0 for the lowest one): 0 meV per atom. The space-group type is No. 36. Its crystal system is orthorhombic. The value obtained for the magnetization is 0.0 Bohr magnetons per cell.

a = 7.0668 Å, b = 7.0668 Å, c = 8.4357 Å
α = 90.00°, β = 90.00°, γ = 153.28°
Atoms (fractional coordinates):
Mg  0.0462  0.9538  0.0839
Mg  0.9538  0.0462  0.5839
Cs  0.6853  0.3147  0.7218
Cs  0.3147  0.6853  0.2218
Pt  0.9150  0.0850  0.8753
Pt  0.0850  0.9150  0.3753

***

CsMgPt: relaxed, PBE.

Summary:
As for the polymorph energy (0 for the lowest one): 801 meV per atom. The space-group type is No. 216. Its crystal system is cubic. The value obtained for the magnetization is 0.3 Bohr magnetons per cell.

a = 5.3761 Å, b = 5.3761 Å, c = 5.3761 Å
α = 60.00°, β = 60.00°, γ = 60.00°
Atoms (fractional coordinates):
Pt  0.7500  0.7500  0.7500
Mg  0.2500  0.2500  0.2500
Cs  0.0000  0.0000  0.0000

***

CsMgPt: relaxed, PBE.

Summary:
As for the polymorph energy (0 for the lowest one): 255 meV per atom. The space-group type is No. 216. Its crystal system is cubic. The value obtained for the magnetization is 0.0 Bohr magnetons per cell.

a = 5.0636 Å, b = 5.0636 Å, c = 5.0636 Å
α = 60.00°, β = 60.00°, γ = 60.00°
Atoms (fractional coordinates):
Pt  0.7500  0.7500  0.7500
Mg  0.0000  0.0000  0.0000
Cs  0.2500  0.2500  0.2500

***

CsMgSbPt: relaxed, PBE.

Summary:
As for the polymorph energy (0 for the lowest one): 126 meV per atom. The space-group type is No. 216. Its crystal system is cubic. The value obtained for the magnetization is 0.0 Bohr magnetons per cell.

a = 5.3692 Å, b = 5.3692 Å, c = 5.3692 Å
α = 60.00°, β = 60.00°, γ = 60.00°
Atoms (fractional coordinates):
Sb  0.0000  0.0000  0.0000
Pt  0.5000  0.5000  0.5000
Mg  0.7500  0.7500  0.7500
Cs  0.2500  0.2500  0.2500